PBE ReTc2Cl, relaxed; total magnetic moment = 0.00 Bohr magnetons per cell; space group = No. 25; energy above the lowest structure with this stoichiometry = 0.4205 eV/atom; density of states at the Fermi level = 4.02 states/eV per cell; V = 19.065 Å³ per atom; calculated density = 9.1 g cm⁻³; total DFT energy (no corrections) = -32.4 eV/cell
1.0
-0.6896 1.4026 -2.4080
-3.8054 -0.3341 0.8951
0.2710 5.8791 3.3467
Cl Re Tc
1 1 2
Direct
0.0000 0.0000 0.3961 Cl
0.5000 0.5000 0.8627 Re
0.0000 0.0000 0.0340 Tc
0.5000 0.5000 0.2073 Tc